Density functional theory data (PBE) for a relaxed K2Pu3PdO12 crystal.

```
data_K2Pu3PdO12
_chemical_formula_sum 'K2 Pu3 Pd1 O12'
_space_group_name_H-M_alt 'P 1'
_space_group_IT_number 1
_cell_length_a 7.447
_cell_length_b 7.447
_cell_length_c 7.447
_cell_angle_alpha 63.47
_cell_angle_beta 63.47
_cell_angle_gamma 63.47
loop_
_space_group_symop_operation_xyz
'x,y,z'
loop_
_atom_site_label
_atom_site_type_symbol
_atom_site_fract_x
_atom_site_fract_y
_atom_site_fract_z
O1 O 0.936 0.320 0.320
O2 O 0.680 0.680 0.064
O3 O 0.931 0.931 0.319
O4 O 0.931 0.319 0.931
O5 O 0.681 0.069 0.069
O6 O 0.064 0.680 0.680
O7 O 0.069 0.069 0.681
O8 O 0.320 0.936 0.320
O9 O 0.680 0.064 0.680
O10 O 0.069 0.681 0.069
O11 O 0.319 0.931 0.931
O12 O 0.320 0.320 0.936
K1 K 0.364 0.364 0.364
K2 K 0.636 0.636 0.636
Pu1 Pu 0.000 0.500 0.000
Pu2 Pu 0.000 0.000 0.500
Pu3 Pu 0.500 0.000 0.000
Pd1 Pd 0.000 0.000 0.000
```

Values from the calculation:
**Spin magnetization**: 6.02 μB/cell
**Raw formation energy**: -2.067 eV/atom
**V**: 314 Å³ per cell
**Crystal system**: trigonal
**Calculated density**: 5855 kg/m3


Density functional theory data (PBE) for a relaxed Pu2RhPb crystal.

```
data_Pu2RhPb
_chemical_formula_sum 'Pu2 Rh1 Pb1'
_space_group_name_H-M_alt 'P 1'
_space_group_IT_number 1
_cell_length_a 3.857
_cell_length_b 3.857
_cell_length_c 6.290
_cell_angle_alpha 90.00
_cell_angle_beta 90.00
_cell_angle_gamma 90.00
loop_
_space_group_symop_operation_xyz
'x,y,z'
loop_
_atom_site_label
_atom_site_type_symbol
_atom_site_fract_x
_atom_site_fract_y
_atom_site_fract_z
Pb1 Pb 0.500 0.500 0.500
Pu1 Pu 0.000 0.000 0.779
Pu2 Pu 0.000 0.000 0.221
Rh1 Rh 0.500 0.500 0.000
```

Values from the calculation:
**Spin magnetization**: 11.02 μB/cell
**V**: 94 Å³ per cell
**Energy relative to the lowest polymorph listed for this composition**: 77 meV per atom
**Energy of formation**: -233 meV/atom
**Crystal system**: tetragonal
**Calculated density**: 14163 kg/m3


Density functional theory data (PBE) for a relaxed ZrNbTcI2 crystal.

```
data_ZrNbTcI2
_chemical_formula_sum 'Zr1 Nb1 Tc1 I2'
_space_group_name_H-M_alt 'P 1'
_space_group_IT_number 1
_cell_length_a 5.597
_cell_length_b 5.206
_cell_length_c 5.597
_cell_angle_alpha 90.00
_cell_angle_beta 90.00
_cell_angle_gamma 90.00
loop_
_space_group_symop_operation_xyz
'x,y,z'
loop_
_atom_site_label
_atom_site_type_symbol
_atom_site_fract_x
_atom_site_fract_y
_atom_site_fract_z
Nb1 Nb 0.000 0.500 0.000
I1 I 0.500 0.000 0.000
I2 I 0.000 0.000 0.500
Tc1 Tc 0.500 0.500 0.500
Zr1 Zr 0.000 0.000 0.000
```

Values from the calculation:
**Spin magnetization**: 3.06 μB/cell
**Raw formation energy**: 1.547 eV/atom
**V**: 163 Å³ per cell
**Crystal system**: tetragonal
**Calculated density**: 5457 kg/m3


Q: Number 3 is which compound?
A: ZrNbTcI2


Copy entry 3 word for word.
Density functional theory data (PBE) for a relaxed ZrNbTcI2 crystal.

```
data_ZrNbTcI2
_chemical_formula_sum 'Zr1 Nb1 Tc1 I2'
_space_group_name_H-M_alt 'P 1'
_space_group_IT_number 1
_cell_length_a 5.597
_cell_length_b 5.206
_cell_length_c 5.597
_cell_angle_alpha 90.00
_cell_angle_beta 90.00
_cell_angle_gamma 90.00
loop_
_space_group_symop_operation_xyz
'x,y,z'
loop_
_atom_site_label
_atom_site_type_symbol
_atom_site_fract_x
_atom_site_fract_y
_atom_site_fract_z
Nb1 Nb 0.000 0.500 0.000
I1 I 0.500 0.000 0.000
I2 I 0.000 0.000 0.500
Tc1 Tc 0.500 0.500 0.500
Zr1 Zr 0.000 0.000 0.000
```

Values from the calculation:
**Spin magnetization**: 3.06 μB/cell
**Raw formation energy**: 1.547 eV/atom
**V**: 163 Å³ per cell
**Crystal system**: tetragonal
**Calculated density**: 5457 kg/m3


Q: Which formula does entry 2 have?
A: Pu2RhPb


Q: Number 1 is which compound?
A: K2Pu3PdO12